[1]
The following is a DFT calculation (PBE) of YScO2 after structural relaxation.

Output
space-group type: R3m
energy relative to the elements, uncorrected: -267 kJ per mole of atoms
crystal system: trigonal
size of the total moment: 0.000 μB/atom
raw total energy: -0.620 Ry per atom
energy above the lowest structure with this stoichiometry: 145.2 meV/atom

abc: 3.2581 3.2581 5.9648
angles: 74.15 74.15 60.00
With the nearest neighbours (Å) after each atom.
Fractional coordinates of all 4 atoms:
Y1 0.4955 0.4955 0.5135  6 O 2.45-2.52
Sc1 0.6733 0.6733 0.9800  6 O 2.17-2.31
O1 0.0699 0.0699 0.7903  3 Sc 2.17
O2 0.2613 0.2613 0.2162  3 Sc 2.31, 3 Y 2.52

---

[2]
The following is a DFT calculation (PBE) of Y2Sc2O after structural relaxation.

Output
space-group type: P4/mmm
energy relative to the elements, uncorrected: -110 kJ per mole of atoms
crystal system: tetragonal
size of the total moment: 0.000 μB/atom
raw total energy: -0.533 Ry per atom

abc: 4.2702 5.0687 5.0687
angles: 90.00 90.00 90.00
With the nearest neighbours (Å) after each atom.
Fractional coordinates of all 5 atoms:
Y1 0.0000 0.0000 0.5000  2 O 2.53
Y2 0.0000 0.5000 0.0000  2 O 2.53
Sc1 0.5000 0.5000 0.5000  8 Y 3.31, 4 Sc 3.58
Sc2 0.5000 0.0000 0.0000  2 O 2.14
O1 0.0000 0.0000 0.0000  2 Sc 2.14

---

[3]
The following is a DFT calculation (PBE) of YSc2O after structural relaxation.

Output
space-group type: P4/mmm
energy relative to the elements, uncorrected: -81 kJ per mole of atoms
crystal system: tetragonal
size of the total moment: 0.197 μB/atom
raw total energy: -0.504 Ry per atom

abc: 3.0013 3.0013 8.3020
angles: 90.00 90.00 90.00
With the nearest neighbours (Å) after each atom.
Fractional coordinates of all 4 atoms:
Y1 0.5000 0.5000 0.5000  4 Y 3.00
Sc1 0.0000 0.0000 0.8304  4 O 2.55, 1 Sc 2.82
Sc2 0.0000 0.0000 0.1696  4 O 2.55, 1 Sc 2.82
O1 0.5000 0.5000 0.0000  8 Sc 2.55

---

[4]
The following is a DFT calculation (PBE) of Y3ScO6 after structural relaxation.

Output
space-group type: R-3
energy relative to the elements, uncorrected: -343 kJ per mole of atoms
crystal system: trigonal
size of the total moment: 0.000 μB/atom
raw total energy: -0.669 Ry per atom
energy above the lowest structure with this stoichiometry: 0.0 meV/atom

abc: 6.6184 6.6184 6.6184
angles: 91.99 91.99 91.99
With the nearest neighbours (Å) after each atom.
Fractional coordinates of all 20 atoms:
Y1 0.4391 0.9318 0.7473  6 O 2.24-2.36
Y2 0.9318 0.7473 0.4391  6 O 2.24-2.36
Y3 0.2527 0.5609 0.0682  6 O 2.24-2.36
Y4 0.7473 0.4391 0.9318  6 O 2.24-2.36
Y5 0.0682 0.2527 0.5609  6 O 2.24-2.36
Y6 0.5609 0.0682 0.2527  6 O 2.24-2.36
Sc1 0.0000 0.0000 0.0000  6 O 2.16
Sc2 0.5000 0.5000 0.5000  6 O 2.12
O1 0.3059 0.9148 0.0690  1 Sc 2.16, 3 Y 2.24-2.36
O2 0.0852 0.9310 0.6941  1 Sc 2.16, 3 Y 2.24-2.36
O3 0.5927 0.8058 0.4627  1 Sc 2.12, 3 Y 2.27-2.32
O4 0.9310 0.6941 0.0852  1 Sc 2.16, 3 Y 2.24-2.36
O5 0.4627 0.5927 0.8058  1 Sc 2.12, 3 Y 2.27-2.32
O6 0.1942 0.5373 0.4073  1 Sc 2.12, 3 Y 2.27-2.32
O7 0.8058 0.4627 0.5927  1 Sc 2.12, 3 Y 2.27-2.32
O8 0.5373 0.4073 0.1942  1 Sc 2.12, 3 Y 2.27-2.32
O9 0.0690 0.3059 0.9148  1 Sc 2.16, 3 Y 2.24-2.36
O10 0.4073 0.1942 0.5373  1 Sc 2.12, 3 Y 2.27-2.32
O11 0.9148 0.0690 0.3059  1 Sc 2.16, 3 Y 2.24-2.36
O12 0.6941 0.0852 0.9310  1 Sc 2.16, 3 Y 2.24-2.36

---

[5]
The following is a DFT calculation (PBE) of Y2ScO4 after structural relaxation.

Output
space-group type: C2/m
energy relative to the elements, uncorrected: -309 kJ per mole of atoms
crystal system: monoclinic
size of the total moment: 0.000 μB/atom
raw total energy: -0.646 Ry per atom

abc: 3.3503 5.8648 6.1230
angles: 120.96 105.88 90.00
With the nearest neighbours (Å) after each atom.
Fractional coordinates of all 7 atoms:
Y1 0.6990 0.6976 0.3980  6 O 2.24-2.44
Y2 0.3010 0.3024 0.6020  6 O 2.24-2.44
Sc1 0.0000 0.0000 0.0000  6 O 2.13-2.28
O1 0.8787 0.1684 0.7574  1 Sc 2.13, 2 Y 2.24
O2 0.1213 0.8316 0.2426  1 Sc 2.13, 2 Y 2.24
O3 0.6411 0.2619 0.2822  3 Y 2.27-2.44, 2 Sc 2.28
O4 0.3589 0.7381 0.7178  3 Y 2.27-2.44, 2 Sc 2.28

---

[6]
The following is a DFT calculation (PBE) of YSc2O4 after structural relaxation.

Output
space-group type: Fd-3m
energy relative to the elements, uncorrected: -316 kJ per mole of atoms
crystal system: cubic
size of the total moment: 0.000 μB/atom
raw total energy: -0.650 Ry per atom
energy above the lowest structure with this stoichiometry: 74.7 meV/atom

abc: 6.4743 6.4744 6.4737
angles: 119.98 119.98 90.04
With the nearest neighbours (Å) after each atom.
Fractional coordinates of all 14 atoms:
Y1 0.2500 0.7500 0.5000  4 O 2.17
Y2 0.0000 0.0000 0.0000  4 O 2.17
Sc1 0.6250 0.8750 0.2500  6 O 2.18
Sc2 0.6250 0.3750 0.7500  6 O 2.18
Sc3 0.1250 0.3750 0.7500  6 O 2.18
Sc4 0.6250 0.3750 0.2500  6 O 2.18
O1 0.8629 0.5886 0.7257  1 Y 2.17, 3 Sc 2.18
O2 0.3870 0.1614 0.7742  1 Y 2.17, 3 Sc 2.18
O3 0.8629 0.1372 0.2743  1 Y 2.17, 3 Sc 2.18
O4 0.4114 0.1370 0.2742  1 Y 2.17, 3 Sc 2.18
O5 0.8628 0.1372 0.7258  1 Y 2.17, 3 Sc 2.18
O6 0.3872 0.6128 0.2258  1 Y 2.17, 3 Sc 2.18
O7 0.8386 0.6129 0.2257  1 Y 2.17, 3 Sc 2.18
O8 0.3872 0.6129 0.7743  1 Y 2.17, 3 Sc 2.18

---

[7]
The following is a DFT calculation (PBE) of Y3ScO6 after structural relaxation.

Output
space-group type: Cmc2_1
energy relative to the elements, uncorrected: -336 kJ per mole of atoms
crystal system: orthorhombic
size of the total moment: 0.000 μB/atom
raw total energy: -0.664 Ry per atom
energy above the lowest structure with this stoichiometry: 68.4 meV/atom

abc: 5.5725 7.1249 7.1249
angles: 101.60 90.00 90.00
With the nearest neighbours (Å) after each atom.
Fractional coordinates of all 20 atoms:
Y1 0.4731 0.9135 0.6879  6 O 2.26-2.41
Y2 0.9731 0.6879 0.9135  6 O 2.26-2.41
Y3 0.4214 0.3974 0.6026  7 O 2.30-2.56
Y4 0.9214 0.6026 0.3974  7 O 2.30-2.56
Y5 0.9731 0.0865 0.3121  6 O 2.26-2.41
Y6 0.4731 0.3121 0.0865  6 O 2.26-2.41
Sc1 0.9911 0.1621 0.8379  4 O 1.99-2.16
Sc2 0.4911 0.8379 0.1621  4 O 1.99-2.16
O1 0.1952 0.6747 0.6464  4 Y 2.26-2.32
O2 0.6952 0.6464 0.6747  4 Y 2.26-2.32
O3 0.1687 0.4081 0.9039  1 Sc 1.99
O4 0.6687 0.9039 0.4081  1 Sc 1.99
O5 0.2535 0.0184 0.9816  2 Sc 2.16-2.39, 2 Y 2.41
O6 0.6455 0.2223 0.7777  1 Sc 2.04
O7 0.1455 0.7777 0.2223  1 Sc 2.04
O8 0.7535 0.9816 0.0184  2 Sc 2.16-2.39, 2 Y 2.41
O9 0.1687 0.0961 0.5919  1 Sc 1.99
O10 0.6687 0.5919 0.0961  1 Sc 1.99
O11 0.1952 0.3536 0.3253  4 Y 2.26-2.32
O12 0.6952 0.3253 0.3536  4 Y 2.26-2.32

---

[8]
The following is a DFT calculation (PBE) of YSc3O after structural relaxation.

Output
space-group type: Pm-3m
energy relative to the elements, uncorrected: -99 kJ per mole of atoms
crystal system: cubic
size of the total moment: 0.000 μB/atom
raw total energy: -0.522 Ry per atom
energy above the lowest structure with this stoichiometry: 107.1 meV/atom

abc: 4.6490 4.6490 4.6490
angles: 90.00 90.00 90.00
With the nearest neighbours (Å) after each atom.
Fractional coordinates of all 5 atoms:
Y1 0.5000 0.5000 0.5000  12 Sc 3.29
Sc1 0.0000 0.5000 0.0000  2 O 2.32
Sc2 0.0000 0.0000 0.5000  2 O 2.32
Sc3 0.5000 0.0000 0.0000  2 O 2.32
O1 0.0000 0.0000 0.0000  6 Sc 2.32

---

[9]
The following is a DFT calculation (PBE) of YSc2O after structural relaxation.

Output
space-group type: R-3m
energy relative to the elements, uncorrected: -123 kJ per mole of atoms
crystal system: trigonal
size of the total moment: 0.172 μB/atom
raw total energy: -0.536 Ry per atom

abc: 8.8754 8.8754 8.8754
angles: 21.20 21.20 21.20
With the nearest neighbours (Å) after each atom.
Fractional coordinates of all 4 atoms:
Y1 0.0000 0.0000 0.0000  2 Sc 3.14, 6 Y 3.27
Sc1 0.8794 0.8794 0.8794  3 O 2.23
Sc2 0.1206 0.1206 0.1206  3 O 2.23
O1 0.5000 0.5000 0.5000  6 Sc 2.23

---

[10]
The following is a DFT calculation (PBE) of YSc3O after structural relaxation.

Output
space-group type: Pm-3m
energy relative to the elements, uncorrected: 132 kJ per mole of atoms
crystal system: cubic
size of the total moment: 0.000 μB/atom
raw total energy: -0.347 Ry per atom
energy above the lowest structure with this stoichiometry: 2500.3 meV/atom

abc: 5.1840 5.1840 5.1840
angles: 90.00 90.00 90.00
With the nearest neighbours (Å) after each atom.
Fractional coordinates of all 5 atoms:
Y1 0.0000 0.0000 0.0000  6 Sc 2.59
Sc1 0.0000 0.5000 0.0000  2 Y 2.59
Sc2 0.0000 0.0000 0.5000  2 Y 2.59
Sc3 0.5000 0.0000 0.0000  2 Y 2.59
O1 0.5000 0.5000 0.5000  12 Sc 3.67

---

[11]
The following is a DFT calculation (PBE) of Y2ZrScO after structural relaxation.

Output
space-group type: P4/mmm
energy relative to the elements, uncorrected: -106 kJ per mole of atoms
crystal system: tetragonal
size of the total moment: 0.000 μB/atom
raw total energy: -0.562 Ry per atom
energy above the lowest structure with this stoichiometry: 0.0 meV/atom

abc: 4.9608 4.9608 4.3532
angles: 90.00 90.00 90.00
With the nearest neighbours (Å) after each atom.
Fractional coordinates of all 5 atoms:
Y1 0.0000 0.5000 0.0000  2 O 2.48
Y2 0.5000 0.0000 0.0000  2 O 2.48
Sc1 0.0000 0.0000 0.5000  2 O 2.18
O1 0.0000 0.0000 0.0000  2 Sc 2.18
Zr1 0.5000 0.5000 0.5000  8 Y 3.30, 4 Sc 3.51

---

[12]
The following is a DFT calculation (PBE) of Y2ZrScO after structural relaxation.

Output
space-group type: P4/mmm
energy relative to the elements, uncorrected: -104 kJ per mole of atoms
crystal system: tetragonal
size of the total moment: 0.000 μB/atom
raw total energy: -0.561 Ry per atom
energy above the lowest structure with this stoichiometry: 14.8 meV/atom

abc: 4.8958 4.8958 4.5294
angles: 90.00 90.00 90.00
With the nearest neighbours (Å) after each atom.
Fractional coordinates of all 5 atoms:
Y1 0.0000 0.5000 0.0000  2 O 2.45
Y2 0.5000 0.0000 0.0000  2 O 2.45
Sc1 0.5000 0.5000 0.5000  8 Y 3.33, 4 Zr 3.46
O1 0.0000 0.0000 0.0000  2 Zr 2.26, 4 Y 2.45
Zr1 0.0000 0.0000 0.5000  2 O 2.26